# CaAcDyY (PBE, relaxed)
data_CaAcDyY
_chemical_formula_sum 'Ca4 Ac4 Dy4 Y4'
_symmetry_space_group_name_H-M 'F -4 3 m'
_symmetry_Int_Tables_number 216
_symmetry_space_group_name_Hall 'F -4 2 3'
_cell_length_a 8.399
_cell_length_b 8.399
_cell_length_c 8.399
_cell_angle_alpha 90.00
_cell_angle_beta 90.00
_cell_angle_gamma 90.00
loop_
_atom_site_label
_atom_site_fract_x
_atom_site_fract_y
_atom_site_fract_z
_atom_site_occupancy
Ca1 0.000 0.000 0.000 1
Ac1 0.250 0.250 0.750 1
Dy1 0.000 0.000 0.500 1
Y1 0.250 0.250 0.250 1
# V	37.03	Å³/atom
# D(E_F)	6.7	states/eV/f.u.
# VASP energy	-16.68	eV per formula unit
# DFT formation energy	0.12	eV per atom